Record 1
Here is an optimized crystal structure of Lu2NbAl from OQMD. Energies are from PBE.

Spin magnetization ... 0.00 μB/atom
Raw total energy ... -5.63 eV per atom
Theoretical density ... 9.09 Mg/m³

extended XYZ file:
```
4
Lattice="0.000 3.501 3.501 3.501 0.000 3.501 3.501 3.501 0.000" Properties=species:S:1:pos:R:3 pbc="T T T"
Al 3.501 3.501 3.501
Lu 0.000 0.000 0.000
Lu 5.251 5.251 5.251
Nb 1.750 1.750 1.750
```

Record 2
Here is an optimized crystal structure of Tc3Se4I from OQMD. Energies are from PBE.

Spin magnetization ... 0.00 μB/atom
Raw total energy ... -6.36 eV per atom
Theoretical density ... 5.94 Mg/m³

extended XYZ file:
```
32
Lattice="-1.065 -1.916 -6.254 1.520 -11.558 3.282 -9.279 0.627 6.506" Properties=species:S:1:pos:R:3 pbc="T T T"
I -1.230 -5.884 -3.760
I -2.600 -9.977 4.808
I -6.224 -2.870 -1.274
I -7.595 -6.963 7.294
Se -0.041 -10.601 -1.993
Se -2.159 -2.075 -3.322
Se -0.667 -10.263 1.538
Se -2.032 -8.179 -0.857
Se -2.596 -1.613 0.182
Se -3.256 -4.892 -0.691
Se -2.583 -6.851 2.400
Se -4.021 -3.493 2.539
Se -4.803 -9.354 0.995
Se -6.242 -5.996 1.133
Se -5.569 -7.955 4.225
Se -6.229 -11.233 3.352
Se -6.793 -4.667 4.391
Se -8.157 -2.583 1.996
Se -6.666 -10.772 6.856
Se -8.783 -2.245 5.526
Tc -1.280 -3.474 -5.230
Tc -0.852 -0.809 -1.435
Tc -0.116 -10.888 3.894
Tc -3.479 -6.755 -2.341
Tc -4.024 -7.100 0.225
Tc -3.229 -7.224 4.812
Tc -5.596 -5.622 -1.278
Tc -4.801 -5.747 3.309
Tc -5.345 -6.092 5.874
Tc -8.708 -1.959 -0.360
Tc -7.973 -12.038 4.969
Tc -7.545 -9.373 8.764
```